(1)
## Co3P (PBE)

Data for an optimized crystal structure of Co3P.

```
data_Co3P
_cell_length_a 6.6451
_cell_length_b 6.6451
_cell_length_c 6.6451
_cell_angle_alpha 96.22
_cell_angle_beta 96.22
_cell_angle_gamma 141.55
_space_group_name_H-M_alt 'P 1'
_space_group_IT_number 1
_space_group_name_Hall 'P 1'
loop_
_atom_site_label
_atom_site_fract_x
_atom_site_fract_y
_atom_site_fract_z
Co1 0.0617 0.3742 0.4740
Co2 0.0848 0.1884 0.8300
Co3 0.2173 0.6673 0.8860
Co4 0.3327 0.2187 0.5500
Co5 0.3584 0.2547 0.1700
Co6 0.4123 0.9383 0.3126
Co7 0.6258 0.0998 0.6874
Co8 0.6687 0.7827 0.4500
Co9 0.7453 0.9152 0.1036
Co10 0.7813 0.3313 0.1140
Co11 0.8116 0.6416 0.8964
Co12 0.9002 0.5877 0.5260
P1 0.2204 0.4764 0.1617
P2 0.3147 0.0587 0.8383
P3 0.5236 0.6853 0.7440
P4 0.9413 0.7796 0.2560
```

Summary:
Total magnetization ... 0.710 μB per atom
Offset from the most stable computed form ... 0.000 eV/atom

(2)
## Ho2Zn2GaPd5 (PBE)

Data for an optimized crystal structure of Ho2Zn2GaPd5.

```
data_Ho2Zn2GaPd5
_cell_length_a 9.7277
_cell_length_b 9.7277
_cell_length_c 3.6886
_cell_angle_alpha 90.00
_cell_angle_beta 90.00
_cell_angle_gamma 90.00
_space_group_name_H-M_alt 'P 1'
_space_group_IT_number 1
_space_group_name_Hall 'P 1'
loop_
_atom_site_label
_atom_site_fract_x
_atom_site_fract_y
_atom_site_fract_z
Ho1 0.1747 0.3253 0.0000
Ho2 0.3253 0.8253 0.0000
Ho3 0.6747 0.1747 0.0000
Ho4 0.8253 0.6747 0.0000
Zn1 0.1236 0.6236 0.0000
Zn2 0.3764 0.1236 0.0000
Zn3 0.6236 0.8764 0.0000
Zn4 0.8764 0.3764 0.0000
Ga1 0.0000 0.0000 0.0000
Ga2 0.5000 0.5000 0.0000
Pd1 0.0000 0.5000 0.5000
Pd2 0.0633 0.7990 0.5000
Pd3 0.2010 0.0633 0.5000
Pd4 0.2990 0.5633 0.5000
Pd5 0.4367 0.2990 0.5000
Pd6 0.5000 0.0000 0.5000
Pd7 0.5633 0.7010 0.5000
Pd8 0.7010 0.4367 0.5000
Pd9 0.7990 0.9367 0.5000
Pd10 0.9367 0.2010 0.5000
```

Summary:
DFT total energy ... -4.7768 eV per atom
Total magnetization ... 0.000 μB per atom

(3)
## Tm3ThFe8 (PBE)

Data for an optimized crystal structure of Tm3ThFe8.

```
data_Tm3ThFe8
_cell_length_a 8.8756
_cell_length_b 8.8756
_cell_length_c 8.8756
_cell_angle_alpha 33.61
_cell_angle_beta 33.61
_cell_angle_gamma 33.61
_space_group_name_H-M_alt 'P 1'
_space_group_IT_number 1
_space_group_name_Hall 'P 1'
loop_
_atom_site_label
_atom_site_fract_x
_atom_site_fract_y
_atom_site_fract_z
Tm1 0.0000 0.0000 0.0000
Tm2 0.1236 0.1236 0.1236
Tm3 0.4965 0.4965 0.4965
Th1 0.6230 0.6230 0.6230
Fe1 0.0600 0.0600 0.5593
Fe2 0.0600 0.5593 0.0600
Fe3 0.0630 0.5611 0.5611
Fe4 0.3116 0.3116 0.3116
Fe5 0.5593 0.0600 0.0600
Fe6 0.5611 0.0630 0.5611
Fe7 0.5611 0.5611 0.0630
Fe8 0.8102 0.8102 0.8102
```

Summary:
DFT total energy ... -7.5093 eV per atom
Total magnetization ... 1.179 μB per atom

(4)
## Al2InSe (PBE)

Data for an optimized crystal structure of Al2InSe.

```
data_Al2InSe
_cell_length_a 5.2470
_cell_length_b 5.2470
_cell_length_c 3.5597
_cell_angle_alpha 90.00
_cell_angle_beta 90.00
_cell_angle_gamma 112.73
_space_group_name_H-M_alt 'P 1'
_space_group_IT_number 1
_space_group_name_Hall 'P 1'
loop_
_atom_site_label
_atom_site_fract_x
_atom_site_fract_y
_atom_site_fract_z
Al1 0.2262 0.7738 0.0000
Al2 0.7738 0.2262 0.0000
In1 0.5000 0.5000 0.5000
Se1 0.0000 0.0000 0.5000
```

Summary:
E_form (uncorrected) ... -0.04 eV/atom
Total magnetization ... 0.000 μB per atom
Offset from the most stable computed form ... 0.061 eV/atom

(5)
## PrEr2F11 (PBE)

Data for an optimized crystal structure of PrEr2F11.

```
data_PrEr2F11
_cell_length_a 8.7855
_cell_length_b 8.7855
_cell_length_c 8.7855
_cell_angle_alpha 123.24
_cell_angle_beta 108.40
_cell_angle_gamma 97.83
_space_group_name_H-M_alt 'P 1'
_space_group_IT_number 1
_space_group_name_Hall 'P 1'
loop_
_atom_site_label
_atom_site_fract_x
_atom_site_fract_y
_atom_site_fract_z
Pr1 0.2500 0.2500 0.0000
Pr2 0.7500 0.7500 0.0000
Er1 0.1881 0.6554 0.8435
Er2 0.3119 0.1554 0.4673
Er3 0.6881 0.8446 0.5327
Er4 0.8119 0.3446 0.1565
F1 0.0000 0.5000 0.5000
F2 0.0369 0.9678 0.2820
F3 0.0515 0.3439 0.1361
F4 0.1858 0.4678 0.9309
F5 0.1982 0.3894 0.5876
F6 0.2078 0.9155 0.8639
F7 0.2922 0.1561 0.7076
F8 0.3018 0.8894 0.1912
F9 0.3142 0.2451 0.2820
F10 0.4485 0.5845 0.2924
F11 0.4631 0.7451 0.9309
F12 0.5000 0.0000 0.5000
F13 0.5369 0.2549 0.0691
F14 0.5515 0.4155 0.7076
F15 0.6858 0.7549 0.7180
F16 0.6982 0.1106 0.8088
F17 0.7078 0.8439 0.2924
F18 0.7922 0.0845 0.1361
F19 0.8018 0.6106 0.4124
F20 0.8142 0.5322 0.0691
F21 0.9485 0.6561 0.8639
F22 0.9631 0.0322 0.7180
```

Summary:
E_form (uncorrected) ... -3.45 eV/atom
Total magnetization ... 0.151 μB per atom

(6)
## Zn2TcAs (PBE)

Data for an optimized crystal structure of Zn2TcAs.

```
data_Zn2TcAs
_cell_length_a 5.1027
_cell_length_b 5.1027
_cell_length_c 5.1027
_cell_angle_alpha 137.72
_cell_angle_beta 137.72
_cell_angle_gamma 61.33
_space_group_name_H-M_alt 'P 1'
_space_group_IT_number 1
_space_group_name_Hall 'P 1'
loop_
_atom_site_label
_atom_site_fract_x
_atom_site_fract_y
_atom_site_fract_z
Zn1 0.2500 0.7500 0.5000
Zn2 0.7500 0.2500 0.5000
Tc1 0.0000 0.0000 0.0000
As1 0.5000 0.5000 0.0000
```

Summary:
DFT total energy ... -4.2900 eV per atom
Total magnetization ... 0.125 μB per atom

(7)
## Zr2RuN (PBE)

Data for an optimized crystal structure of Zr2RuN.

```
data_Zr2RuN
_cell_length_a 5.7465
_cell_length_b 5.7465
_cell_length_c 5.7465
_cell_angle_alpha 114.93
_cell_angle_beta 114.93
_cell_angle_gamma 99.03
_space_group_name_H-M_alt 'P 1'
_space_group_IT_number 1
_space_group_name_Hall 'P 1'
loop_
_atom_site_label
_atom_site_fract_x
_atom_site_fract_y
_atom_site_fract_z
Zr1 0.0586 0.6250 0.9336
Zr2 0.3750 0.3086 0.4336
Zr3 0.6914 0.1250 0.0664
Zr4 0.8750 0.9414 0.5664
Ru1 0.2500 0.7500 0.5000
Ru2 0.5000 0.5000 0.0000
N1 0.0000 0.0000 0.0000
N2 0.7500 0.2500 0.5000
```

Summary:
E_form (uncorrected) ... -0.51 eV/atom
Total magnetization ... 0.000 μB per atom

(8)
## KSnBr2O (PBE)

Data for an optimized crystal structure of KSnBr2O.

```
data_KSnBr2O
_cell_length_a 5.5433
_cell_length_b 5.5433
_cell_length_c 9.3630
_cell_angle_alpha 90.00
_cell_angle_beta 90.00
_cell_angle_gamma 90.00
_space_group_name_H-M_alt 'P 1'
_space_group_IT_number 1
_space_group_name_Hall 'P 1'
loop_
_atom_site_label
_atom_site_fract_x
_atom_site_fract_y
_atom_site_fract_z
K1 0.0000 0.0000 0.0000
Sn1 0.0000 0.0000 0.5000
Br1 0.0000 0.5000 0.5000
Br2 0.5000 0.0000 0.5000
O1 0.5000 0.5000 0.0000
```

Summary:
E_form (uncorrected) ... -0.17 eV/atom
Total magnetization ... 0.210 μB per atom